[1]
DFT (PBE-GGA) results for NiSbTe2I after structural relaxation.

Cell: 5.781 5.781 5.870 Å, 90.00 90.00 90.00°
Site moments in Bohr magnetons follow the coordinates.
Fractional coordinates of all 5 atoms:
I 0.000 0.000 0.500  0.02
Te 0.000 0.500 0.000  0.08
Te 0.500 0.000 0.000  0.08
Sb 0.000 0.000 0.000  0.01
Ni 0.500 0.500 0.500  1.01

Results
**Formation energy without anion corrections**: 0.979 eV/atom
**Space group**: P4/mmm (123)
**Density of states at the Fermi level**: 13.28 states/eV/f.u.


[2]
DFT (PBE-GGA) results for NiSbTeI2 after structural relaxation.

Cell: 5.897 5.897 6.068 Å, 90.00 90.00 90.00°
Site moments in Bohr magnetons follow the coordinates.
Fractional coordinates of all 5 atoms:
Te 0.000 0.000 0.000  -0.03
I 0.000 0.500 0.000  0.02
I 0.500 0.000 0.000  0.02
Sb 0.000 0.000 0.500  0.35
Ni 0.500 0.500 0.500  1.03

Results
**Formation energy without anion corrections**: 1.072 eV/atom
**Space group**: P4/mmm (123)
**Density of states at the Fermi level**: 7.24 states/eV/f.u.


[3]
DFT (PBE-GGA) results for NiSbTeI2 after structural relaxation.

Cell: 5.161 5.161 5.243 Å, 90.00 90.00 90.00°
Fractional coordinates of all 5 atoms:
I 0.000 0.500 0.000
I 0.500 0.000 0.000
Ni 0.000 0.000 0.000
Te 0.500 0.500 0.500
Sb 0.000 0.000 0.500

Results
**Formation energy without anion corrections**: 0.299 eV/atom
**Space group**: P4/mmm (123)
**Density of states at the Fermi level**: 3.94 states/eV/f.u.


[4]
DFT (PBE-GGA) results for NiSbTe2I after structural relaxation.

Cell: 5.765 5.765 5.868 Å, 90.00 90.00 90.00°
Site moments in Bohr magnetons follow the coordinates.
Fractional coordinates of all 5 atoms:
Sb 0.000 0.000 0.500  0.24
Te 0.000 0.500 0.000  0.07
Te 0.500 0.000 0.000  0.07
I 0.000 0.000 0.000  -0.01
Ni 0.500 0.500 0.500  0.97

Results
**Formation energy without anion corrections**: 1.495 eV/atom
**Space group**: P4/mmm (123)
**Density of states at the Fermi level**: 12.76 states/eV/f.u.


[5]
DFT (PBE-GGA) results for TiNiSbI2 after structural relaxation.

Cell: 5.346 5.346 5.576 Å, 90.00 90.00 90.00°
Site moments in Bohr magnetons follow the coordinates.
Fractional coordinates of all 5 atoms:
Ti 0.000 0.000 0.000  0.32
I 0.500 0.000 0.000  0.00
I 0.000 0.500 0.000  0.00
Sb 0.000 0.000 0.500  -0.06
Ni 0.500 0.500 0.500  1.02

Results
**Formation energy without anion corrections**: 0.614 eV/atom
**Space group**: P4/mmm (123)
**Density of states at the Fermi level**: 6.97 states/eV/f.u.


[6]
DFT (PBE-GGA) results for TiNiSbI2 after structural relaxation.

Cell: 5.236 5.236 5.010 Å, 90.00 90.00 90.00°
Site moments in Bohr magnetons follow the coordinates.
Fractional coordinates of all 5 atoms:
Sb 0.000 0.000 0.500  -0.12
I 0.000 0.500 0.000  -0.04
I 0.500 0.000 0.000  -0.04
Ni 0.000 0.000 0.000  -0.07
Ti 0.500 0.500 0.500  1.83

Results
**Formation energy without anion corrections**: 0.557 eV/atom
**Space group**: P4/mmm (123)
**Density of states at the Fermi level**: 8.41 states/eV/f.u.


[7]
DFT (PBE-GGA) results for VNiSbI2 after structural relaxation.

Cell: 5.402 5.402 5.320 Å, 90.00 90.00 90.00°
Site moments in Bohr magnetons follow the coordinates.
Fractional coordinates of all 5 atoms:
Sb 0.000 0.000 0.500  -0.17
Ni 0.500 0.500 0.500  1.01
I 0.000 0.500 0.000  0.00
I 0.500 0.000 0.000  0.00
V 0.000 0.000 0.000  1.96

Results
**Formation energy without anion corrections**: 0.829 eV/atom
**Space group**: P4/mmm (123)
**Density of states at the Fermi level**: 8.56 states/eV/f.u.


[8]
DFT (PBE-GGA) results for VNiSbI2 after structural relaxation.

Cell: 5.347 5.347 4.871 Å, 90.00 90.00 90.00°
Site moments in Bohr magnetons follow the coordinates.
Fractional coordinates of all 5 atoms:
Ni 0.000 0.000 0.000  0.01
I 0.500 0.000 0.000  -0.03
I 0.000 0.500 0.000  -0.03
V 0.500 0.500 0.500  3.10
Sb 0.000 0.000 0.500  -0.08

Results
**Formation energy without anion corrections**: 0.706 eV/atom
**Space group**: P4/mmm (123)
**Density of states at the Fermi level**: 6.95 states/eV/f.u.


Number 1: relative energy among the computed polymorphs 701 meV/atom. Number 2: relative energy among the computed polymorphs 801 meV/atom. Number 3: relative energy among the computed polymorphs 28 meV/atom. Number 4: relative energy among the computed polymorphs 1218 meV/atom. Number 5: relative energy among the computed polymorphs 58 meV/atom. Number 6: relative energy among the computed polymorphs 0 meV/atom. Number 7: relative energy among the computed polymorphs 123 meV/atom. Number 8: relative energy among the computed polymorphs 0 meV/atom.